Here is an optimized crystal structure of Rb3NaSc2Cl9 from Alexandria via LeMat-Bulk. Energies are from PBE.

CIF file:
```
data_Rb3NaSc2Cl9
_chemical_formula_sum 'Rb3 Na1 Sc2 Cl9'
_symmetry_space_group_name_H-M 'P 1'
_symmetry_Int_Tables_number 1
_cell_length_a 7.379
_cell_length_b 7.379
_cell_length_c 9.084
_cell_angle_alpha 90.00
_cell_angle_beta 90.00
_cell_angle_gamma 120.00
loop_
_symmetry_equiv_pos_as_xyz
'x,y,z'
loop_
_atom_site_label
_atom_site_type_symbol
_atom_site_fract_x
_atom_site_fract_y
_atom_site_fract_z
Cl1 Cl 0.172 0.828 0.320
Cl2 Cl 0.828 0.172 0.680
Cl3 Cl 0.172 0.345 0.320
Cl4 Cl 0.500 0.500 0.000
Cl5 Cl 0.500 0.000 0.000
Cl6 Cl 0.345 0.172 0.680
Cl7 Cl 0.828 0.655 0.680
Cl8 Cl 0.000 0.500 0.000
Cl9 Cl 0.655 0.828 0.320
Rb1 Rb 0.000 0.000 0.000
Rb2 Rb 0.333 0.667 0.650
Rb3 Rb 0.667 0.333 0.350
Sc1 Sc 0.667 0.333 0.837
Sc2 Sc 0.333 0.667 0.163
Na1 Na 0.000 0.000 0.500
```

Values from the calculation:
* size of the total moment: 1.0 μB/f.u.
* total energy: -63.35 eV/f.u.
* space-group type: P-3m1